Entry 1:
A plane-wave DFT calculation with PBE was carried out for crystalline PmSmAlPd at its relaxed geometry.

Geometry as POSCAR:
```
PmSmAlPd
1.0
-1.687 1.818 3.018
-1.353 -3.957 1.627
5.725 -1.347 1.484
Al Sm Pm Pd
1 1 1 1
Direct
0.568 0.500 0.137 Al
0.146 0.000 0.292 Sm
0.854 0.500 0.707 Pm
0.432 0.000 0.864 Pd
```

Output
The value obtained for the energy relative to the lowest polymorph listed for this composition is 0.0 meV per atom. The total energy is -0.1898 hartree per atom. Its magnetic moment is 0.000 μB/cell. The calculated volume is 100.7 Å³/cell. The calculation puts the energy relative to the elements at -0.564 eV/atom.

=====

Entry 2:
A plane-wave DFT calculation with PBE was carried out for crystalline Np4Bi7Au6 at its relaxed geometry.

Geometry as POSCAR:
```
Np4Bi7Au6
1.0
7.832 0.000 -2.769
-3.916 6.783 -2.769
0.000 0.000 8.307
Au Bi Np
6 7 4
Direct
0.000 0.300 0.300 Au
0.300 0.000 0.300 Au
0.700 0.700 0.000 Au
0.300 0.300 0.000 Au
0.000 0.700 0.700 Au
0.700 0.000 0.700 Au
0.750 0.500 0.250 Bi
0.750 0.250 0.500 Bi
0.500 0.750 0.250 Bi
0.250 0.750 0.500 Bi
0.250 0.500 0.750 Bi
0.000 0.000 0.000 Bi
0.500 0.250 0.750 Bi
0.000 0.500 0.000 Np
0.500 0.500 0.500 Np
0.000 0.000 0.500 Np
0.500 0.000 0.000 Np
```

Output
The total energy is -0.2139 hartree per atom. Its magnetic moment is 17.370 μB/cell. The calculated volume is 441.3 Å³/cell. The calculation puts the energy relative to the elements at -0.022 eV/atom.

=====

Entry 3:
A plane-wave DFT calculation with PBE was carried out for crystalline Y5Ag4Pt at its relaxed geometry.

Geometry as POSCAR:
```
Y5Ag4Pt
1.0
3.596 0.000 0.000
0.000 3.596 0.000
0.000 0.000 18.282
Ag Y Pt
4 5 1
Direct
0.000 0.000 0.804 Ag
0.000 0.000 0.196 Ag
0.000 0.000 0.602 Ag
0.000 0.000 0.398 Ag
0.500 0.500 0.704 Y
0.500 0.500 0.092 Y
0.500 0.500 0.296 Y
0.500 0.500 0.908 Y
0.500 0.500 0.500 Y
0.000 0.000 0.000 Pt
```

Output
The total energy is -0.2017 hartree per atom. Its magnetic moment is 0.000 μB/cell. The calculated volume is 236.5 Å³/cell. The calculation puts the energy relative to the elements at -0.513 eV/atom.

=====

Entry 4:
A plane-wave DFT calculation with PBE was carried out for crystalline K3PRh at its relaxed geometry.

Geometry as POSCAR:
```
K3PRh
1.0
-5.076 1.040 -3.301
-3.364 -2.860 4.272
-0.813 5.337 2.932
P K Rh
1 3 1
Direct
0.000 0.000 0.000 P
0.500 0.000 0.000 K
0.000 0.000 0.500 K
0.000 0.500 0.000 K
0.500 0.500 0.500 Rh
```

Output
The value obtained for the energy relative to the lowest polymorph listed for this composition is 0.0 meV per atom. The total energy is -0.0905 hartree per atom. Its magnetic moment is 3.000 μB/cell. The calculated volume is 231.9 Å³/cell. The calculation puts the energy relative to the elements at 0.748 eV/atom.

=====

Entry 5:
A plane-wave DFT calculation with PBE was carried out for crystalline DyScTc at its relaxed geometry.

Geometry as POSCAR:
```
DyScTc
1.0
3.390 0.000 0.000
0.000 3.390 0.000
-1.695 -1.695 5.838
Dy Sc Tc
1 1 1
Direct
0.029 0.029 0.058 Dy
0.296 0.296 0.592 Sc
0.675 0.675 0.350 Tc
```

Output
The value obtained for the energy relative to the lowest polymorph listed for this composition is 0.0 meV per atom. The total energy is -0.2650 hartree per atom. Its magnetic moment is 0.000 μB/cell. The calculated volume is 67.1 Å³/cell. The calculation puts the energy relative to the elements at -0.112 eV/atom.

=====

Entry 6:
A plane-wave DFT calculation with PBE was carried out for crystalline Li2SmCd2 at its relaxed geometry.

Geometry as POSCAR:
```
Li2SmCd2
1.0
-3.162 -0.687 -0.495
1.116 -2.028 -4.312
1.890 -4.915 5.565
Cd Li Sm
2 2 1
Direct
0.610 0.610 0.220 Cd
0.390 0.390 0.780 Cd
0.722 0.222 0.443 Li
0.278 0.778 0.557 Li
0.000 0.000 0.000 Sm
```

Output
The value obtained for the energy relative to the lowest polymorph listed for this composition is 31.5 meV per atom. The total energy is -0.0837 hartree per atom. Its magnetic moment is 0.000 μB/cell. The calculated volume is 113.4 Å³/cell. The calculation puts the energy relative to the elements at -0.201 eV/atom.

=====

Entry 7:
A plane-wave DFT calculation with PBE was carried out for crystalline InSe2S4 at its relaxed geometry.

Geometry as POSCAR:
```
InSe2S4
1.0
5.228 0.000 0.000
0.000 5.228 0.000
2.614 2.614 6.545
In Se S
1 2 4
Direct
0.000 0.000 0.000 In
0.619 0.619 0.762 Se
0.381 0.381 0.238 Se
0.000 0.500 0.000 S
0.223 0.223 0.555 S
0.777 0.777 0.445 S
0.500 0.000 0.000 S
```

Output
The total energy is -0.1265 hartree per atom. Its magnetic moment is 0.000 μB/cell. As for the raw formation energy: 0.30 eV per atom. The calculated volume is 178.9 Å³/cell.

=====

Entry 8:
A plane-wave DFT calculation with PBE was carried out for crystalline Tm3TlZn2 at its relaxed geometry.

Geometry as POSCAR:
```
Tm3TlZn2
1.0
-0.710 3.362 0.880
0.003 -0.898 3.432
10.885 2.155 0.554
Tm Zn Tl
3 2 1
Direct
0.000 0.000 0.311 Tm
0.000 0.000 0.000 Tm
0.000 0.000 0.689 Tm
0.500 0.500 0.848 Zn
0.500 0.500 0.152 Zn
0.500 0.500 0.500 Tl
```

Output
The total energy is -0.1246 hartree per atom. Its magnetic moment is 0.001 μB/cell. The calculated volume is 139.8 Å³/cell. The calculation puts the energy relative to the elements at -0.337 eV/atom.

=====

Entry 9:
A plane-wave DFT calculation with PBE was carried out for crystalline Ta2AsPt at its relaxed geometry.

Geometry as POSCAR:
```
Ta2AsPt
1.0
-2.407 -2.720 -3.344
-0.088 -1.568 -4.681
2.537 -4.283 0.707
Ta As Pt
2 1 1
Direct
0.995 0.995 0.009 Ta
0.505 0.505 0.491 Ta
0.750 0.750 0.750 As
0.250 0.250 0.250 Pt
```

Output
The total energy is -0.3208 hartree per atom. Its magnetic moment is 0.000 μB/cell. The calculated volume is 68.5 Å³/cell. The calculation puts the energy relative to the elements at -0.130 eV/atom.

=====

Entry 10:
A plane-wave DFT calculation with PBE was carried out for crystalline LiLaTb2 at its relaxed geometry.

Geometry as POSCAR:
```
LiLaTb2
1.0
3.712 0.000 0.000
0.000 5.737 0.000
0.000 0.000 5.737
Li Tb La
1 2 1
Direct
0.500 0.000 0.000 Li
0.000 0.000 0.500 Tb
0.000 0.500 0.000 Tb
0.500 0.500 0.500 La
```

Output
The value obtained for the energy relative to the lowest polymorph listed for this composition is 100.2 meV per atom. The total energy is -0.1412 hartree per atom. Its magnetic moment is 0.013 μB/cell. The calculated volume is 122.2 Å³/cell. The calculation puts the energy relative to the elements at 0.182 eV/atom.

=====

Entry 11:
A plane-wave DFT calculation with PBE was carried out for crystalline CaSc2UO8 at its relaxed geometry.

Geometry as POSCAR:
```
CaSc2UO8
1.0
4.952 0.047 -0.003
0.087 4.929 -0.005
0.004 0.008 7.063
U Sc O Ca
1 2 8 1
Direct
0.000 0.000 0.000 U
0.500 0.500 0.216 Sc
0.500 0.500 0.784 Sc
0.810 0.194 0.224 O
0.190 0.806 0.224 O
0.810 0.194 0.776 O
0.397 0.387 0.500 O
0.603 0.613 0.500 O
0.190 0.806 0.776 O
0.309 0.304 0.000 O
0.691 0.696 0.000 O
0.000 0.000 0.500 Ca
```

Output
The total energy is -0.3087 hartree per atom. Its magnetic moment is 0.047 μB/cell. As for the raw formation energy: -2.93 eV per atom. The calculated volume is 172.4 Å³/cell.

=====

Entry 12:
A plane-wave DFT calculation with PBE was carried out for crystalline ZnCo2Ni at its relaxed geometry.

Geometry as POSCAR:
```
ZnCo2Ni
1.0
-1.696 3.017 0.104
-2.172 -1.242 0.581
-1.079 -0.801 5.623
Zn Co Ni
1 2 1
Direct
0.500 0.754 0.746 Zn
0.000 0.983 0.017 Co
0.500 0.260 0.240 Co
0.000 0.503 0.496 Ni
```

Output
The total energy is -0.1962 hartree per atom. Its magnetic moment is 3.315 μB/cell. The calculated volume is 46.1 Å³/cell. The calculation puts the energy relative to the elements at -0.021 eV/atom.

=====

Entry 13:
A plane-wave DFT calculation with PBE was carried out for crystalline Fe2IrRh4 at its relaxed geometry.

Geometry as POSCAR:
```
Fe2IrRh4
1.0
-3.411 0.036 2.647
0.062 -2.653 -3.406
5.341 -8.862 7.001
Fe Rh Ir
4 8 2
Direct
0.833 0.667 0.945 Fe
0.167 0.333 0.445 Fe
0.167 0.333 0.055 Fe
0.833 0.667 0.555 Fe
0.167 0.334 0.639 Rh
0.500 0.000 0.500 Rh
0.167 0.334 0.861 Rh
0.833 0.666 0.139 Rh
0.834 0.667 0.750 Rh
0.166 0.333 0.250 Rh
0.500 0.000 0.000 Rh
0.833 0.666 0.361 Rh
0.500 0.999 0.250 Ir
0.500 0.001 0.750 Ir
```

Output
The total energy is -0.2816 hartree per atom. Its magnetic moment is 18.034 μB/cell. The calculated volume is 201.7 Å³/cell. The calculation puts the energy relative to the elements at 0.223 eV/atom.

=====

Entry 14:
A plane-wave DFT calculation with PBE was carried out for crystalline Pr2DyErS5 at its relaxed geometry.

Geometry as POSCAR:
```
Pr2DyErS5
1.0
4.858 0.000 0.000
0.000 4.858 0.000
0.000 0.000 10.277
S Pr Dy Er
5 2 1 1
Direct
0.500 0.000 0.500 S
0.000 0.500 0.500 S
0.000 0.000 0.755 S
0.000 0.000 0.245 S
0.500 0.500 0.000 S
0.500 0.500 0.707 Pr
0.500 0.500 0.293 Pr
0.000 0.000 0.000 Dy
0.000 0.000 0.500 Er
```

Output
The total energy is -0.2159 hartree per atom. Its magnetic moment is 0.000 μB/cell. As for the raw formation energy: -1.50 eV per atom. The calculated volume is 242.5 Å³/cell.